Record 1
# Ta2Hg

Crystalline Ta2Hg at its relaxed geometry (PBEsol, Alexandria via LeMat-Bulk). Values from VASP.

Geometry as Quantum ESPRESSO input:
```
&SYSTEM
  ibrav = 0, nat = 6, ntyp = 2
/
ATOMIC_SPECIES
Hg 200.59 Hg.upf
Ta 180.95 Ta.upf
CELL_PARAMETERS angstrom
-1.688 2.301 -0.178
-2.507 -3.898 -3.645
-2.744 -1.536 6.136
ATOMIC_POSITIONS crystal
Hg 0.031 0.061 0.808
Hg 0.969 0.939 0.192
Ta 0.360 0.721 0.481
Ta 0.300 0.600 0.855
Ta 0.640 0.279 0.519
Ta 0.700 0.400 0.145
```

## Properties
As for the volume: 54.73 Å³/f.u. As for the total moment: 0.0 μB per cell. As for the total energy: -8.32 eV per atom. The calculation puts the formation energy at 0.2371 eV/atom. Its density of states at the Fermi level is 2.039 states/eV/f.u. The calculation puts the density at 17066 kg/m³. As for the space-group type: C2/m.

=====

Record 2
# Cs2Li2Mg

Crystalline Cs2Li2Mg at its relaxed geometry (PBEsol, Alexandria via LeMat-Bulk). Values from VASP.

Geometry as Quantum ESPRESSO input:
```
&SYSTEM
  ibrav = 0, nat = 5, ntyp = 3
/
ATOMIC_SPECIES
Li 6.94 Li.upf
Cs 132.91 Cs.upf
Mg 24.30 Mg.upf
CELL_PARAMETERS angstrom
4.223 0.000 0.000
0.000 4.223 0.000
-2.112 -2.112 12.511
ATOMIC_POSITIONS crystal
Li 0.250 0.750 0.500
Li 0.750 0.250 0.500
Cs 0.611 0.611 0.223
Cs 0.389 0.389 0.777
Mg 0.000 0.000 0.000
```

## Properties
As for the volume: 223.14 Å³/f.u. As for the total moment: 0.0 μB per cell. As for the total energy: -1.28 eV per atom. The calculation puts the formation energy at 0.2295 eV/atom. Its density of states at the Fermi level is 4.348 states/eV/f.u. The calculation puts the density at 2262 kg/m³. As for the space-group type: I4/mmm.

=====

Record 3
# Zr2AlW

Crystalline Zr2AlW at its relaxed geometry (PBEsol, Alexandria via LeMat-Bulk). Values from VASP.

Geometry as Quantum ESPRESSO input:
```
&SYSTEM
  ibrav = 0, nat = 4, ntyp = 3
/
ATOMIC_SPECIES
Zr 91.22 Zr.upf
W 183.84 W.upf
Al 26.98 Al.upf
CELL_PARAMETERS angstrom
2.915 -0.010 0.000
-0.852 2.787 0.000
0.000 0.000 9.140
ATOMIC_POSITIONS crystal
Zr 0.000 0.000 0.242
Zr 0.000 0.000 0.758
W 0.500 0.500 0.000
Al 0.500 0.500 0.500
```

## Properties
As for the volume: 74.18 Å³/f.u. As for the total moment: 0.0 μB per cell. As for the total energy: -9.07 eV per atom. The calculation puts the formation energy at -0.0474 eV/atom. Its density of states at the Fermi level is 3.688 states/eV/f.u. The calculation puts the density at 8804 kg/m³. As for the space-group type: Cmmm.

=====

Record 4
# Li2Mn3F8

Crystalline Li2Mn3F8 at its relaxed geometry (PBEsol, Alexandria via LeMat-Bulk). Values from VASP.

Geometry as Quantum ESPRESSO input:
```
&SYSTEM
  ibrav = 0, nat = 13, ntyp = 3
/
ATOMIC_SPECIES
Mn 54.94 Mn.upf
F 19.00 F.upf
Li 6.94 Li.upf
CELL_PARAMETERS angstrom
-1.812 -1.769 -5.660
0.315 -5.987 -1.583
-5.226 -3.271 -0.658
ATOMIC_POSITIONS crystal
Mn 0.000 0.500 0.500
Mn 0.500 0.000 0.500
Mn 0.500 0.500 0.000
F 0.587 0.095 0.095
F 0.095 0.587 0.095
F 0.596 0.596 0.596
F 0.905 0.905 0.413
F 0.404 0.404 0.404
F 0.095 0.095 0.587
F 0.905 0.413 0.905
F 0.413 0.905 0.905
Li 0.885 0.885 0.885
Li 0.115 0.115 0.115
```

## Properties
As for the volume: 170.17 Å³/f.u. As for the total moment: 15.0 μB per cell. As for the total energy: -6.12 eV per atom. For the uncorrected formation energy, the calculation gives -31.0 eV per formula unit. Its density of states at the Fermi level is 0.000 states/eV/f.u. The calculation puts the density at 3227 kg/m³. As for the space-group type: R-3m.

=====

Record 5
# ZrCo2Se

Crystalline ZrCo2Se at its relaxed geometry (PBEsol, Alexandria via LeMat-Bulk). Values from VASP.

Geometry as Quantum ESPRESSO input:
```
&SYSTEM
  ibrav = 0, nat = 4, ntyp = 3
/
ATOMIC_SPECIES
Co 58.93 Co.upf
Zr 91.22 Zr.upf
Se 78.96 Se.upf
CELL_PARAMETERS angstrom
-1.235 -1.583 2.547
2.608 0.794 1.758
-2.585 4.740 1.693
ATOMIC_POSITIONS crystal
Co 0.000 0.000 0.058
Co 0.500 0.500 0.201
Zr 0.500 0.500 0.755
Se 0.000 0.000 0.486
```

## Properties
As for the volume: 59.54 Å³/f.u. As for the total moment: 2.6 μB per cell. As for the total energy: -7.30 eV per atom. For the uncorrected formation energy, the calculation gives -0.8 eV per formula unit. Its density of states at the Fermi level is 4.584 states/eV/f.u. The calculation puts the density at 8034 kg/m³. As for the space-group type: P4mm.

=====

Record 6
# Ca3BCNCl2

Crystalline Ca3BCNCl2 at its relaxed geometry (PBEsol, Alexandria via LeMat-Bulk). Values from VASP.

Geometry as Quantum ESPRESSO input:
```
&SYSTEM
  ibrav = 0, nat = 32, ntyp = 5
/
ATOMIC_SPECIES
Cl 35.45 Cl.upf
Ca 40.08 Ca.upf
N 14.01 N.upf
B 10.81 B.upf
C 12.01 C.upf
CELL_PARAMETERS angstrom
-3.612 -0.770 0.854
2.236 -10.839 -0.316
3.134 0.254 13.488
ATOMIC_POSITIONS crystal
Cl 0.250 0.895 0.942
Cl 0.250 0.141 0.514
Cl 0.250 0.359 0.014
Cl 0.750 0.641 0.986
Cl 0.750 0.105 0.058
Cl 0.250 0.605 0.442
Cl 0.750 0.395 0.558
Cl 0.750 0.859 0.486
Ca 0.750 0.430 0.865
Ca 0.250 0.570 0.135
Ca 0.250 0.358 0.402
Ca 0.750 0.642 0.598
Ca 0.750 0.797 0.809
Ca 0.250 0.930 0.635
Ca 0.250 0.142 0.902
Ca 0.750 0.070 0.365
Ca 0.750 0.858 0.098
Ca 0.250 0.203 0.191
Ca 0.750 0.703 0.309
Ca 0.250 0.297 0.691
N 0.750 0.982 0.726
N 0.250 0.018 0.274
N 0.750 0.518 0.226
N 0.250 0.482 0.774
B 0.250 0.902 0.242
B 0.750 0.402 0.258
B 0.250 0.598 0.742
B 0.750 0.098 0.758
C 0.750 0.281 0.298
C 0.250 0.719 0.702
C 0.750 0.219 0.798
C 0.250 0.781 0.202
```

## Properties
As for the volume: 145.30 Å³/f.u. As for the total moment: 0.0 μB per cell. As for the total energy: -5.84 eV per atom. For the uncorrected formation energy, the calculation gives -11.1 eV per formula unit. Its density of states at the Fermi level is 0.000 states/eV/f.u. The calculation puts the density at 2605 kg/m³. As for the space-group type: Pnma.

=====

Record 7
# SrLa2Pb

Crystalline SrLa2Pb at its relaxed geometry (PBEsol, Alexandria via LeMat-Bulk). Values from VASP.

Geometry as Quantum ESPRESSO input:
```
&SYSTEM
  ibrav = 0, nat = 4, ntyp = 3
/
ATOMIC_SPECIES
La 138.91 La.upf
Sr 87.62 Sr.upf
Pb 207.20 Pb.upf
CELL_PARAMETERS angstrom
3.611 0.000 0.000
0.000 6.311 0.006
0.000 -2.411 5.832
ATOMIC_POSITIONS crystal
La 0.000 0.500 0.000
La 0.000 0.000 0.500
Sr 0.500 0.500 0.500
Pb 0.500 0.000 0.000
```

## Properties
As for the volume: 132.96 Å³/f.u. As for the total moment: 0.0 μB per cell. As for the total energy: -4.27 eV per atom. The calculation puts the formation energy at -0.1356 eV/atom. Its density of states at the Fermi level is 5.065 states/eV/f.u. The calculation puts the density at 7151 kg/m³. As for the space-group type: Cmmm.

=====

Record 8
# KLaSb2

Crystalline KLaSb2 at its relaxed geometry (PBEsol, Alexandria via LeMat-Bulk). Values from VASP.

Geometry as Quantum ESPRESSO input:
```
&SYSTEM
  ibrav = 0, nat = 4, ntyp = 3
/
ATOMIC_SPECIES
La 138.91 La.upf
Sb 121.76 Sb.upf
K 39.10 K.upf
CELL_PARAMETERS angstrom
-0.406 -3.782 2.293
1.899 -2.647 -4.029
4.797 0.612 1.859
ATOMIC_POSITIONS crystal
La 0.500 0.000 0.000
Sb 0.000 0.000 0.500
Sb 0.000 0.500 0.000
K 0.500 0.500 0.500
```

## Properties
As for the volume: 119.23 Å³/f.u. As for the total moment: 0.0 μB per cell. As for the total energy: -4.53 eV per atom. For the uncorrected formation energy, the calculation gives -2.5 eV per formula unit. Its density of states at the Fermi level is 1.724 states/eV/f.u. The calculation puts the density at 5871 kg/m³. As for the space-group type: P4/mmm.

=====

Record 9
# IrC2

Crystalline IrC2 at its relaxed geometry (PBEsol, Alexandria via LeMat-Bulk). Values from VASP.

Geometry as Quantum ESPRESSO input:
```
&SYSTEM
  ibrav = 0, nat = 6, ntyp = 2
/
ATOMIC_SPECIES
Ir 192.22 Ir.upf
C 12.01 C.upf
CELL_PARAMETERS angstrom
3.156 0.000 0.000
0.000 3.156 0.000
0.000 0.000 5.837
ATOMIC_POSITIONS crystal
Ir 0.000 0.500 0.219
Ir 0.500 0.000 0.781
C 0.000 0.000 0.000
C 0.000 0.500 0.590
C 0.500 0.500 0.000
C 0.500 0.000 0.410
```

## Properties
As for the volume: 29.08 Å³/f.u. As for the total moment: 0.0 μB per cell. As for the total energy: -7.76 eV per atom. The calculation puts the formation energy at 1.9449 eV/atom. Its density of states at the Fermi level is 1.015 states/eV/f.u. The calculation puts the density at 12350 kg/m³. As for the space-group type: P4/nmm.

=====

Record 10
# CsTaPtAu2

Crystalline CsTaPtAu2 at its relaxed geometry (PBEsol, Alexandria via LeMat-Bulk). Values from VASP.

Geometry as Quantum ESPRESSO input:
```
&SYSTEM
  ibrav = 0, nat = 5, ntyp = 4
/
ATOMIC_SPECIES
Cs 132.91 Cs.upf
Au 196.97 Au.upf
Ta 180.95 Ta.upf
Pt 195.08 Pt.upf
CELL_PARAMETERS angstrom
-3.686 -0.612 3.449
-3.009 -2.404 -3.642
2.069 -4.681 1.380
ATOMIC_POSITIONS crystal
Cs 0.000 0.000 0.000
Au 0.000 0.000 0.500
Au 0.000 0.500 0.000
Ta 0.500 0.500 0.500
Pt 0.500 0.000 0.000
```

## Properties
As for the volume: 142.85 Å³/f.u. As for the total moment: 2.7 μB per cell. As for the total energy: -3.09 eV per atom. The calculation puts the formation energy at 2.5754 eV/atom. Its density of states at the Fermi level is 4.737 states/eV/f.u. The calculation puts the density at 10495 kg/m³. As for the space-group type: P4/mmm.

=====

Record 11
# Y2ZrCo

Crystalline Y2ZrCo at its relaxed geometry (PBEsol, Alexandria via LeMat-Bulk). Values from VASP.

Geometry as Quantum ESPRESSO input:
```
&SYSTEM
  ibrav = 0, nat = 4, ntyp = 3
/
ATOMIC_SPECIES
Y 88.91 Y.upf
Zr 91.22 Zr.upf
Co 58.93 Co.upf
CELL_PARAMETERS angstrom
4.267 0.000 0.000
0.000 4.267 0.000
-2.133 -2.133 4.696
ATOMIC_POSITIONS crystal
Y 0.250 0.750 0.500
Y 0.750 0.250 0.500
Zr 0.500 0.500 0.000
Co 0.000 0.000 0.000
```

## Properties
As for the volume: 85.50 Å³/f.u. As for the total moment: 1.0 μB per cell. As for the total energy: -7.26 eV per atom. The calculation puts the formation energy at 0.3533 eV/atom. Its density of states at the Fermi level is 6.066 states/eV/f.u. The calculation puts the density at 6370 kg/m³. As for the space-group type: I4/mmm.

=====

Record 12
# Tc2RhBr

Crystalline Tc2RhBr at its relaxed geometry (PBEsol, Alexandria via LeMat-Bulk). Values from VASP.

Geometry as Quantum ESPRESSO input:
```
&SYSTEM
  ibrav = 0, nat = 4, ntyp = 3
/
ATOMIC_SPECIES
Br 79.90 Br.upf
Tc 98.00 Tc.upf
Rh 102.91 Rh.upf
CELL_PARAMETERS angstrom
-1.314 -1.533 2.031
1.307 -2.367 -0.942
5.569 1.262 4.555
ATOMIC_POSITIONS crystal
Br 0.000 0.000 0.488
Tc 0.500 0.500 0.238
Tc 0.000 0.000 0.008
Rh 0.500 0.500 0.766
```

## Properties
As for the volume: 59.89 Å³/f.u. As for the total moment: 0.0 μB per cell. As for the total energy: -7.75 eV per atom. For the uncorrected formation energy, the calculation gives 1.6 eV per formula unit. Its density of states at the Fermi level is 3.810 states/eV/f.u. The calculation puts the density at 10503 kg/m³. As for the space-group type: P4mm.